(1)
The following is a DFT calculation (PBE) of a geometry-optimized Ho7Tm12In structure.

Structure (CIF):
```
data_Ho7Tm12In
_cell_length_a 11.8161
_cell_length_b 11.8161
_cell_length_c 15.4057
_cell_angle_alpha 90.00
_cell_angle_beta 90.00
_cell_angle_gamma 120.00
_space_group_name_H-M_alt 'R -3'
_space_group_IT_number 148
_space_group_name_Hall '-R 3'
loop_
_atom_site_label
_atom_site_type_symbol
_atom_site_fract_x
_atom_site_fract_y
_atom_site_fract_z
Ho1 Ho 0.0000 0.0000 0.0000
Ho2 Ho 0.0554 0.1883 0.2980
Tm1 Tm 0.0341 0.4566 0.2132
Tm2 Tm 0.0549 0.5849 0.5858
In1 In 0.0000 0.0000 0.5000
```

Output
Magnetization (μB/atom): 0.00
DFT total energy (eV for the cell shown): -254.8
ΔH_f (0 K) (meV/atom): 175
Fermi-level density of states (states/eV/f.u.): 33.3
Volume (A^3/atom): 31.046

(2)
The following is a DFT calculation (PBE) of a geometry-optimized HoTm3In3 structure.

Structure (CIF):
```
data_HoTm3In3
_cell_length_a 9.2097
_cell_length_b 9.2097
_cell_length_c 5.1380
_cell_angle_alpha 90.00
_cell_angle_beta 90.00
_cell_angle_gamma 120.00
_space_group_name_H-M_alt 'P 63/m'
_space_group_IT_number 176
_space_group_name_Hall '-P 6c'
loop_
_atom_site_label
_atom_site_type_symbol
_atom_site_fract_x
_atom_site_fract_y
_atom_site_fract_z
Ho1 Ho 0.3333 0.6667 0.2500
Tm1 Tm 0.0051 0.2317 0.2500
In1 In 0.0731 0.4545 0.7500
```

Output
Magnetization (μB/atom): 0.00
DFT total energy (eV for the cell shown): -57.0
ΔH_f (0 K) (meV/atom): -324
Fermi-level density of states (states/eV/f.u.): 5.6
Volume (A^3/atom): 26.958
Offset from the most stable computed form (meV per atom): 0

(3)
The following is a DFT calculation (PBE) of a geometry-optimized HoTm7In2 structure.

Structure (CIF):
```
data_HoTm7In2
_cell_length_a 9.021
_cell_length_b 15.260
_cell_length_c 5.341
_cell_angle_alpha 90.00
_cell_angle_beta 90.00
_cell_angle_gamma 90.00
_space_group_name_H-M_alt 'C m m m'
_space_group_IT_number 65
_space_group_name_Hall '-C 2 2'
loop_
_atom_site_label
_atom_site_type_symbol
_atom_site_fract_x
_atom_site_fract_y
_atom_site_fract_z
Ho1 Ho 0.000 0.000 0.000
Tm1 Tm 0.000 0.227 0.000
Tm2 Tm 0.000 0.500 0.500
Tm3 Tm 0.181 0.121 0.500
In1 In 0.000 0.304 0.500
```

Output
Magnetization (μB/atom): 0.00
DFT total energy (eV for the cell shown): -75.5
ΔH_f (0 K) (meV/atom): 361
Fermi-level density of states (states/eV/f.u.): 18.5
Volume (A^3/atom): 36.759